Compound: SbPdPt
Source: OQMD
Functional: PBE
Structure: relaxed

Cell lengths 4.3935, 4.3935, 4.3935 Å; angles 60.00, 60.00, 60.00 degrees
Last column: nearest neighbours and their distance in Å.
Positions (direct):
Pd1 0.2500 0.2500 0.2500  4 Sb 2.69
Pt1 0.7500 0.7500 0.7500  4 Sb 2.69
Sb1 0.0000 0.0000 0.0000  4 Pd 2.69, 4 Pt 2.69

Results
E_tot = -5.4109 eV per atom

=====

Compound: Y2Sb2PdPt
Source: OQMD
Functional: PBE
Structure: relaxed

Cell lengths 8.0965, 4.6740, 15.5039 Å; angles 90.00, 100.02, 90.00 degrees
Last column: nearest neighbours and their distance in Å.
Positions (direct):
Pd1 0.0004 0.0000 0.0001  4 Y 2.86-2.87, 4 Sb 2.86
Pd2 0.0005 0.5000 0.5005  4 Sb 2.85-2.87, 4 Y 2.86
Pd3 0.5000 0.0000 0.5009  4 Sb 2.85-2.87, 4 Y 2.86-2.87
Pd4 0.2506 0.0000 0.7498  4 Sb 2.86, 4 Y 2.86-2.87
Pt1 0.4998 0.5000 0.0007  4 Sb 2.85-2.87, 4 Y 2.86-2.87
Pt2 0.7489 0.0000 0.2490  4 Sb 2.85-2.88, 4 Y 2.86-2.87
Pt3 0.2504 0.5000 0.2491  4 Y 2.85-2.87, 4 Sb 2.85-2.88
Pt4 0.7491 0.5000 0.7497  4 Sb 2.86-2.87, 4 Y 2.86-2.87
Sb1 0.5628 0.5000 0.1876  4 Pt 2.85
Sb2 0.0624 0.0000 0.1877  3 Pt 2.86, 1 Pd 2.86
Sb3 0.8125 0.0000 0.4376  3 Pd 2.87, 1 Pt 2.88
Sb4 0.3127 0.5000 0.4379  3 Pd 2.86, 1 Pt 2.88
Sb5 0.5623 0.0000 0.6873  2 Pd 2.85-2.86, 2 Pt 2.86
Sb6 0.0627 0.5000 0.6875  3 Pd 2.85-2.86, 1 Pt 2.87
Sb7 0.8126 0.5000 0.9373  2 Pd 2.86, 2 Pt 2.86-2.87
Sb8 0.3123 0.0000 0.9374  2 Pd 2.86, 2 Pt 2.87
Y1 0.6877 0.0000 0.0619  3 Pt 2.86, 1 Pd 2.86
Y2 0.1872 0.5000 0.0623  2 Pt 2.85-2.86, 2 Pd 2.86
Y3 0.9379 0.5000 0.3130  1 Pd 2.86, 3 Pt 2.87
Y4 0.4375 0.0000 0.3131  3 Pt 2.87, 1 Pd 2.87
Y5 0.6879 0.5000 0.5622  3 Pd 2.86, 1 Pt 2.86
Y6 0.1870 0.0000 0.5623  4 Pd 2.86
Y7 0.9374 0.0000 0.8124  2 Pd 2.87, 2 Pt 2.87
Y8 0.4375 0.5000 0.8127  2 Pt 2.86-2.87, 2 Pd 2.86

Results
E_tot = -6.5756 eV per atom

=====

Compound: ScPdPt
Source: OQMD
Functional: PBE
Structure: relaxed

Cell lengths 4.4094, 4.4094, 4.4094 Å; angles 60.00, 60.00, 60.00 degrees
Last column: nearest neighbours and their distance in Å.
Positions (direct):
Pd1 0.2500 0.2500 0.2500  4 Pt 2.70
Pt1 0.0000 0.0000 0.0000  4 Pd 2.70, 4 Sc 2.70
Sc1 0.7500 0.7500 0.7500  4 Pt 2.70

Results
excess energy over the best structure of this formula in the dataset = 0.000 kcal/mol of atoms
E_form = -64 kJ/mol of atoms

=====

Compound: ScPdPt2
Source: OQMD
Functional: PBE
Structure: relaxed

Cell lengths 4.5449, 4.5449, 4.5449 Å; angles 60.00, 60.00, 60.00 degrees
Last column: nearest neighbours and their distance in Å.
Positions (direct):
Pd1 0.2500 0.2500 0.2500  4 Sc 2.78, 4 Pt 2.78
Pt1 0.5000 0.5000 0.5000  4 Pt 2.78, 4 Pd 2.78
Pt2 0.7500 0.7500 0.7500  4 Pt 2.78, 4 Sc 2.78
Sc1 0.0000 0.0000 0.0000  4 Pd 2.78, 4 Pt 2.78

Results
E_form = -72 kJ/mol of atoms